The following is a DFT calculation (meta-GGA SCAN) of a PBEsol-optimized structure of CoCuPt2.

a = 3.7029 Å, b = 3.7029 Å, c = 7.6663 Å
α = 90.00°, β = 90.00°, γ = 90.00°
Closest atoms and distances in Å follow each position.
Fractional positions:
Co 0.0000 0.0000 0.0000  8 Pt 2.62-2.66, 4 Cu 2.66
Co 0.5000 0.5000 0.5000  8 Pt 2.62-2.66, 4 Cu 2.66
Cu 0.0000 0.5000 0.2500  8 Pt 2.62-2.66, 4 Co 2.66
Cu 0.5000 0.0000 0.7500  8 Pt 2.62-2.66, 4 Co 2.66
Pt 0.0000 0.0000 0.5000  4 Co 2.62, 4 Cu 2.66, 4 Pt 2.66
Pt 0.0000 0.5000 0.7500  4 Cu 2.62, 4 Co 2.66, 4 Pt 2.66
Pt 0.5000 0.0000 0.2500  4 Cu 2.62, 4 Co 2.66, 4 Pt 2.66
Pt 0.5000 0.5000 0.0000  4 Co 2.62, 4 Cu 2.66, 4 Pt 2.66

Output
* final energy: -43.323 eV per atom
* Fermi-level density of states: 0.544 states/eV/atom
* calculated formation energy: -0.4 eV/f.u.

---

The following is a DFT calculation (meta-GGA SCAN) of a PBEsol-optimized structure of BaZnNi.

a = 3.4219 Å, b = 3.4219 Å, c = 10.9430 Å
α = 90.00°, β = 90.00°, γ = 90.00°
Closest atoms and distances in Å follow each position.
Fractional positions:
Ba 0.0000 0.0000 0.0000  1 Ni 3.00, 1 Zn 3.04
Ba 0.5000 0.5000 0.5000  1 Ni 3.00, 1 Zn 3.04
Zn 0.0000 0.0000 0.2781  4 Ni 2.49
Zn 0.5000 0.5000 0.7781  4 Ni 2.49
Ni 0.0000 0.0000 0.7257  4 Zn 2.49
Ni 0.5000 0.5000 0.2257  4 Zn 2.49

Output
* final energy: -22.946 eV per atom
* Fermi-level density of states: 0.839 states/eV/atom
* calculated formation energy: 0.4 eV/f.u.

---

The following is a DFT calculation (meta-GGA SCAN) of a PBEsol-optimized structure of BaSrMg2.

a = 4.2052 Å, b = 4.2052 Å, c = 8.4279 Å
α = 90.00°, β = 90.00°, γ = 90.00°
Closest atoms and distances in Å follow each position.
Fractional positions:
Ba 0.0000 0.0000 0.0000  8 Mg 3.72
Sr 0.0000 0.0000 0.5000  8 Mg 3.58
Mg 0.5000 0.5000 0.2645  4 Sr 3.58, 4 Ba 3.72, 1 Mg 3.97
Mg 0.5000 0.5000 0.7355  4 Sr 3.58, 4 Ba 3.72, 1 Mg 3.97

Output
* final energy: -17.993 eV per atom
* Fermi-level density of states: 0.761 states/eV/atom
* calculated formation energy: -0.2 eV/f.u.

---

The following is a DFT calculation (meta-GGA SCAN) of a PBEsol-optimized structure of MnCrFe2.

a = 3.4524 Å, b = 3.4524 Å, c = 6.9599 Å
α = 90.00°, β = 90.00°, γ = 90.00°
Closest atoms and distances in Å follow each position.
Fractional positions:
Mn 0.0000 0.0000 0.0000  4 Cr 2.44, 8 Fe 2.45
Mn 0.5000 0.5000 0.5000  4 Cr 2.44, 8 Fe 2.45
Cr 0.0000 0.0000 0.5000  4 Mn 2.44, 8 Fe 2.45
Cr 0.5000 0.5000 0.0000  4 Mn 2.44, 8 Fe 2.45
Fe 0.0000 0.5000 0.2500  4 Fe 2.44, 4 Cr 2.45, 4 Mn 2.45
Fe 0.0000 0.5000 0.7500  4 Fe 2.44, 4 Mn 2.45, 4 Cr 2.45
Fe 0.5000 0.0000 0.2500  4 Fe 2.44, 4 Cr 2.45, 4 Mn 2.45
Fe 0.5000 0.0000 0.7500  4 Fe 2.44, 4 Mn 2.45, 4 Cr 2.45

Output
* final energy: -18.072 eV per atom
* Fermi-level density of states: 0.853 states/eV/atom
* calculated formation energy: 0.6 eV/f.u.

---

The following is a DFT calculation (meta-GGA SCAN) of a PBEsol-optimized structure of Mn2BeTe.

a = 3.6487 Å, b = 3.6487 Å, c = 7.8830 Å
α = 90.00°, β = 90.00°, γ = 90.00°
Closest atoms and distances in Å follow each position.
Fractional positions:
Mn 0.0000 0.0000 0.0000  4 Be 2.58, 4 Mn 2.69, 4 Te 2.69
Mn 0.0000 0.5000 0.2500  4 Te 2.58, 4 Mn 2.69, 4 Be 2.69
Mn 0.5000 0.0000 0.7500  4 Te 2.58, 4 Mn 2.69, 4 Be 2.69
Mn 0.5000 0.5000 0.5000  4 Be 2.58, 4 Mn 2.69, 4 Te 2.69
Be 0.0000 0.0000 0.5000  8 Mn 2.58-2.69, 4 Te 2.69
Be 0.5000 0.5000 0.0000  8 Mn 2.58-2.69, 4 Te 2.69
Te 0.0000 0.5000 0.7500  8 Mn 2.58-2.69, 4 Be 2.69
Te 0.5000 0.0000 0.2500  8 Mn 2.58-2.69, 4 Be 2.69

Output
* final energy: -19.395 eV per atom
* Fermi-level density of states: 0.615 states/eV/atom
* formation energy (no corrections): 0.134 eV per atom

---

The following is a DFT calculation (meta-GGA SCAN) of a PBEsol-optimized structure of Ca2H2S2O9.

a = 9.3352 Å, b = 9.3352 Å, c = 11.9453 Å
α = 129.65°, β = 129.65°, γ = 43.28°
Closest atoms and distances in Å follow each position.
Fractional positions:
Ca 0.0000 0.0000 0.0000  7 O 2.34-2.50
Ca 0.3199 0.0031 0.4472  7 O 2.31-2.54
Ca 0.5077 0.4923 0.5000  8 O 2.37-2.61
Ca 0.5427 0.1282 0.0703  8 O 2.33-2.59
Ca 0.8718 0.4573 0.9297  8 O 2.33-2.59
Ca 0.9969 0.6801 0.5528  7 O 2.31-2.54
H 0.1107 0.3692 0.6849  1 O 0.99
H 0.1871 0.1688 0.7061  1 O 0.98
H 0.3982 0.5462 0.9135  1 O 0.98
H 0.4538 0.6018 0.0865  1 O 0.98
H 0.6308 0.8893 0.3151  1 O 0.99
H 0.8312 0.8129 0.2939  1 O 0.98
S 0.1019 0.7253 0.1914  4 O 1.48-1.51
S 0.2597 0.2468 0.2541  4 O 1.48-1.49
S 0.2747 0.8981 0.8086  4 O 1.48-1.51
S 0.5887 0.2535 0.6968  4 O 1.47-1.49
S 0.7465 0.4113 0.3032  4 O 1.47-1.49
S 0.7532 0.7403 0.7459  4 O 1.48-1.49
O 0.0598 0.2961 0.1157  1 S 1.49
O 0.0920 0.8816 0.1802  1 S 1.48
O 0.1184 0.9080 0.8198  1 S 1.48
O 0.1837 0.2072 0.6443  2 H 0.98-0.99
O 0.2035 0.1291 0.8541  1 S 1.51
O 0.2041 0.4982 0.0841  1 S 1.48
O 0.2194 0.4411 0.3949  1 S 1.48
O 0.2238 0.7346 0.3538  1 S 1.48
O 0.2654 0.7762 0.6462  1 S 1.48
O 0.3209 0.0569 0.2649  1 S 1.49
O 0.3405 0.6595 0.0000  2 H 0.98
O 0.3478 0.4002 0.6663  1 S 1.47
O 0.4455 0.1902 0.2416  1 S 1.48
O 0.5018 0.7959 0.9159  1 S 1.48
O 0.5589 0.7806 0.6051  1 S 1.48
O 0.5998 0.6522 0.3337  1 S 1.47
O 0.6457 0.0224 0.6012  1 S 1.48
O 0.6654 0.3137 0.6633  1 S 1.49
O 0.6863 0.3346 0.3367  1 S 1.49
O 0.7039 0.9402 0.8843  1 S 1.49
O 0.7052 0.2794 0.8642  1 S 1.49
O 0.7206 0.2948 0.1358  1 S 1.49
O 0.7928 0.8163 0.3557  2 H 0.98-0.99
O 0.8098 0.5545 0.7584  1 S 1.48
O 0.8709 0.7965 0.1459  1 S 1.51
O 0.9431 0.6791 0.7351  1 S 1.49
O 0.9776 0.3543 0.3988  1 S 1.48

Output
* final energy: -8.960 eV per atom
* Fermi-level density of states: 0.000 states/eV/atom

---

The following is a DFT calculation (meta-GGA SCAN) of a PBEsol-optimized structure of NiRu3O.

a = 3.9345 Å, b = 3.9345 Å, c = 3.9345 Å
α = 90.00°, β = 90.00°, γ = 90.00°
Closest atoms and distances in Å follow each position.
Fractional positions:
Ni 0.0000 0.0000 0.0000  12 Ru 2.78
Ru 0.0000 0.5000 0.5000  2 O 1.97
Ru 0.5000 0.0000 0.5000  2 O 1.97
Ru 0.5000 0.5000 0.0000  2 O 1.97
O 0.5000 0.5000 0.5000  6 Ru 1.97

Output
* final energy: -24.961 eV per atom
* Fermi-level density of states: 0.985 states/eV/atom
* formation energy (no corrections): 0.415 eV per atom

---

The following is a DFT calculation (meta-GGA SCAN) of a PBEsol-optimized structure of Sm3Y.

a = 7.1618 Å, b = 7.1618 Å, c = 5.6931 Å
α = 90.00°, β = 90.00°, γ = 120.00°
Closest atoms and distances in Å follow each position.
Fractional positions:
Sm 0.1662 0.3324 0.2500  8 Sm 3.51-3.59, 4 Y 3.52-3.58
Sm 0.1662 0.8338 0.2500  8 Sm 3.51-3.59, 4 Y 3.52-3.58
Sm 0.3324 0.1662 0.7500  8 Sm 3.51-3.59, 4 Y 3.52-3.58
Sm 0.6676 0.8338 0.2500  8 Sm 3.51-3.59, 4 Y 3.52-3.58
Sm 0.8338 0.1662 0.7500  8 Sm 3.51-3.59, 4 Y 3.52-3.58
Sm 0.8338 0.6676 0.7500  8 Sm 3.51-3.59, 4 Y 3.52-3.58
Y 0.3333 0.6667 0.7500  12 Sm 3.52-3.58
Y 0.6667 0.3333 0.2500  12 Sm 3.52-3.58

Output
* final energy: -40.270 eV per atom
* Fermi-level density of states: 1.605 states/eV/atom
* calculated formation energy: 0.1 eV/f.u.

---

The following is a DFT calculation (meta-GGA SCAN) of a PBEsol-optimized structure of Cu24Ni5.

a = 7.5154 Å, b = 7.5154 Å, c = 7.5154 Å
α = 109.47°, β = 109.47°, γ = 109.47°
Closest atoms and distances in Å follow each position.
Fractional positions:
Cu 0.0000 0.3127 0.5902  11 Cu 2.37-2.64, 1 Ni 2.44
Cu 0.0000 0.5902 0.3127  11 Cu 2.37-2.64, 1 Ni 2.44
Cu 0.0000 0.6239 0.8099  8 Cu 2.28-2.52
Cu 0.0000 0.8099 0.6239  8 Cu 2.28-2.52
Cu 0.1861 0.3761 0.3761  8 Cu 2.28-2.52
Cu 0.1901 0.1901 0.8139  8 Cu 2.28-2.52
Cu 0.1901 0.8139 0.1901  8 Cu 2.28-2.52
Cu 0.2776 0.6873 0.6873  11 Cu 2.37-2.64, 1 Ni 2.44
Cu 0.3127 0.0000 0.5902  11 Cu 2.37-2.64, 1 Ni 2.44
Cu 0.3127 0.5902 0.0000  11 Cu 2.37-2.64, 1 Ni 2.44
Cu 0.3761 0.1861 0.3761  8 Cu 2.28-2.52
Cu 0.3761 0.3761 0.1861  8 Cu 2.28-2.52
Cu 0.4098 0.4098 0.7224  11 Cu 2.37-2.64, 1 Ni 2.44
Cu 0.4098 0.7224 0.4098  11 Cu 2.37-2.64, 1 Ni 2.44
Cu 0.5902 0.0000 0.3127  11 Cu 2.37-2.64, 1 Ni 2.44
Cu 0.5902 0.3127 0.0000  11 Cu 2.37-2.64, 1 Ni 2.44
Cu 0.6239 0.0000 0.8099  8 Cu 2.28-2.52
Cu 0.6239 0.8099 0.0000  8 Cu 2.28-2.52
Cu 0.6873 0.2776 0.6873  11 Cu 2.37-2.64, 1 Ni 2.44
Cu 0.6873 0.6873 0.2776  11 Cu 2.37-2.64, 1 Ni 2.44
Cu 0.7224 0.4098 0.4098  11 Cu 2.37-2.64, 1 Ni 2.44
Cu 0.8099 0.0000 0.6239  8 Cu 2.28-2.52
Cu 0.8099 0.6239 0.0000  8 Cu 2.28-2.52
Cu 0.8139 0.1901 0.1901  8 Cu 2.28-2.52
Ni 0.0000 0.0000 0.0000  4 Ni 2.62, 12 Cu 2.71
Ni 0.0000 0.0000 0.3485  9 Cu 2.44-2.60, 1 Ni 2.62
Ni 0.0000 0.3485 0.0000  9 Cu 2.44-2.60, 1 Ni 2.62
Ni 0.3485 0.0000 0.0000  9 Cu 2.44-2.60, 1 Ni 2.62
Ni 0.6515 0.6515 0.6515  9 Cu 2.44-2.60, 1 Ni 2.62

Output
* final energy: -15.258 eV per atom
* Fermi-level density of states: 0.416 states/eV/atom
* calculated formation energy: 3.2 eV/f.u.

---

The following is a DFT calculation (meta-GGA SCAN) of a PBEsol-optimized structure of Gd2InGe2.

a = 7.3153 Å, b = 7.3153 Å, c = 4.1963 Å
α = 90.00°, β = 90.00°, γ = 90.00°
Closest atoms and distances in Å follow each position.
Fractional positions:
Gd 0.1782 0.3218 0.0000  6 Ge 2.95-3.06
Gd 0.3218 0.8218 0.0000  6 Ge 2.95-3.06
Gd 0.6782 0.1782 0.0000  6 Ge 2.95-3.06
Gd 0.8218 0.6782 0.0000  6 Ge 2.95-3.06
In 0.0000 0.0000 0.5000  4 Ge 2.91
In 0.5000 0.5000 0.5000  4 Ge 2.91
Ge 0.1212 0.6212 0.5000  1 Ge 2.51
Ge 0.3788 0.1212 0.5000  1 Ge 2.51
Ge 0.6212 0.8788 0.5000  1 Ge 2.51
Ge 0.8788 0.3788 0.5000  1 Ge 2.51

Output
* final energy: -38.607 eV per atom
* Fermi-level density of states: 0.442 states/eV/atom
* calculated formation energy: -3.8 eV/f.u.